Entry 1:
A plane-wave DFT calculation with PBE was carried out for Sm2Y2Sb3 after structural relaxation.

abc: 4.368 7.458 7.506
angles: 98.35 90.01 107.06
Fractional coordinates of all 7 atoms:
Sm 0.880 0.759 0.617
Sb 0.254 0.507 0.750
Sm 0.120 0.241 0.383
Sb 0.746 0.493 0.250
Y 0.375 0.750 0.125
Sb 0.000 0.000 0.000
Y 0.625 0.250 0.875

Results
E_tot ... -5.86 eV per atom
Calculated density ... 6.1 g cm⁻³

Entry 2:
A plane-wave DFT calculation with PBE was carried out for Sm4Y3Sb4 after structural relaxation.

abc: 4.054 9.094 10.198
angles: 116.48 101.46 90.00
Fractional coordinates of all 11 atoms:
Y 0.097 0.097 0.194
Sm 0.669 0.492 0.337
Sb 0.500 0.211 0.000
Sb 0.728 0.228 0.457
Y 0.000 0.500 0.000
Sb 0.500 0.789 0.000
Sm 0.331 0.155 0.663
Sb 0.272 0.772 0.543
Sm 0.669 0.845 0.337
Sm 0.331 0.508 0.663
Y 0.903 0.903 0.806

Results
E_tot ... -5.77 eV per atom
Calculated density ... 6.9 g cm⁻³

Entry 3:
A plane-wave DFT calculation with PBE was carried out for SmYSb after structural relaxation.

abc: 6.194 4.380 10.677
angles: 90.00 90.00 134.99
Fractional coordinates of all 6 atoms:
Sm 0.250 0.500 0.841
Y 0.750 0.500 0.585
Y 0.250 0.500 0.415
Sb 0.250 0.500 0.135
Sb 0.750 0.500 0.865
Sm 0.750 0.500 0.159

Results
E_tot ... -5.69 eV per atom
Calculated density ... 5.9 g cm⁻³

Entry 4:
A plane-wave DFT calculation with PBE was carried out for Sm3YSb3 after structural relaxation.

abc: 9.354 9.354 9.354
angles: 90.00 90.00 90.00
Fractional coordinates of all 28 atoms:
Sb 0.999 0.753 0.627
Y 0.572 0.928 0.072
Sb 0.253 0.873 0.001
Sm 0.178 0.822 0.322
Sm 0.821 0.679 0.321
Sb 0.373 0.499 0.747
Sb 0.747 0.373 0.499
Sm 0.679 0.321 0.821
Sm 0.822 0.322 0.178
Sm 0.678 0.678 0.678
Sb 0.247 0.127 0.501
Sm 0.179 0.179 0.179
Sm 0.322 0.178 0.822
Sm 0.321 0.821 0.679
Y 0.928 0.072 0.572
Y 0.072 0.572 0.928
Sm 0.569 0.069 0.431
Sb 0.753 0.627 0.999
Sm 0.931 0.931 0.931
Sm 0.069 0.431 0.569
Sb 0.501 0.247 0.127
Sb 0.127 0.501 0.247
Sm 0.431 0.569 0.069
Y 0.428 0.428 0.428
Sb 0.873 0.001 0.253
Sb 0.627 0.999 0.753
Sb 0.499 0.747 0.373
Sb 0.001 0.253 0.873

Results
E_tot ... -5.75 eV per atom
Calculated density ... 7.3 g cm⁻³

Entry 5:
A plane-wave DFT calculation with PBE was carried out for Sm2YSb after structural relaxation.

abc: 4.221 4.221 6.759
angles: 90.00 90.00 90.00
Fractional coordinates of all 4 atoms:
Sm 0.000 0.000 0.768
Sb 0.500 0.500 0.000
Sm 0.000 0.000 0.232
Y 0.500 0.500 0.500

Results
E_tot ... -5.52 eV per atom
Calculated density ... 7.1 g cm⁻³

Entry 6:
A plane-wave DFT calculation with PBE was carried out for SmYSb after structural relaxation.

abc: 4.529 4.529 8.612
angles: 90.01 89.99 90.00
Fractional coordinates of all 6 atoms:
Sb 0.250 0.750 0.726
Sm 0.750 0.250 0.648
Y 0.250 0.250 0.000
Sm 0.250 0.750 0.352
Y 0.750 0.750 0.000
Sb 0.750 0.250 0.274

Results
E_tot ... -5.94 eV per atom
Calculated density ... 6.8 g cm⁻³

Entry 7:
A plane-wave DFT calculation with PBE was carried out for Sm4YSb2 after structural relaxation.

abc: 5.344 5.344 9.243
angles: 106.80 106.80 90.00
Fractional coordinates of all 7 atoms:
Sm 0.815 0.815 0.631
Sm 0.185 0.185 0.369
Sm 0.000 0.500 0.000
Sb 0.633 0.633 0.266
Sb 0.367 0.367 0.734
Sm 0.500 0.000 0.000
Y 0.000 0.000 0.000

Results
E_tot ... -4.63 eV per atom
Calculated density ... 6.4 g cm⁻³

Entry 8:
A plane-wave DFT calculation with PBE was carried out for SmYSb after structural relaxation.

abc: 4.104 5.084 5.084
angles: 120.00 90.00 90.00
Fractional coordinates of all 3 atoms:
Sb 0.380 0.333 0.667
Sm 0.049 0.000 0.000
Y 0.572 0.667 0.333

Results
E_tot ... -5.57 eV per atom
Calculated density ... 6.5 g cm⁻³

Entry 9:
A plane-wave DFT calculation with PBE was carried out for Sm2YSb after structural relaxation.

abc: 4.931 4.811 4.811
angles: 90.00 90.00 90.00
Fractional coordinates of all 4 atoms:
Sm 0.000 0.500 0.000
Sb 0.500 0.500 0.500
Y 0.500 0.000 0.000
Sm 0.000 0.000 0.500

Results
E_tot ... -5.52 eV per atom
Calculated density ... 7.4 g cm⁻³

Entry 10:
A plane-wave DFT calculation with PBE was carried out for Sm2ZnSb after structural relaxation.

abc: 3.932 3.932 6.807
angles: 90.00 90.00 90.00
Fractional coordinates of all 4 atoms:
Sm 0.000 0.000 0.248
Zn 0.500 0.500 0.000
Sb 0.500 0.500 0.500
Sm 0.000 0.000 0.752

Results
E_tot ... -4.34 eV per atom
Calculated density ... 7.7 g cm⁻³

Entry 11:
A plane-wave DFT calculation with PBE was carried out for Sm5ZnSb2 after structural relaxation.

abc: 5.898 6.595 14.247
angles: 90.00 90.00 116.56
Fractional coordinates of all 16 atoms:
Zn 0.709 0.418 0.750
Sm 0.603 0.205 0.250
Sm 0.625 0.249 0.945
Sm 0.074 0.147 0.107
Sb 0.194 0.387 0.609
Sm 0.074 0.147 0.393
Sm 0.375 0.751 0.445
Sb 0.806 0.613 0.109
Sm 0.926 0.853 0.607
Sb 0.194 0.387 0.891
Zn 0.291 0.582 0.250
Sb 0.806 0.613 0.391
Sm 0.926 0.853 0.893
Sm 0.397 0.795 0.750
Sm 0.625 0.249 0.555
Sm 0.375 0.751 0.055

Results
E_tot ... -4.50 eV per atom
Calculated density ... 7.1 g cm⁻³

Entry 12:
A plane-wave DFT calculation with PBE was carried out for Sm2ZnSb after structural relaxation.

abc: 4.215 6.129 8.993
angles: 111.30 90.00 90.00
Fractional coordinates of all 8 atoms:
Zn 0.250 0.332 0.708
Sb 0.250 0.340 0.209
Sm 0.250 0.784 0.563
Sm 0.250 0.780 0.077
Zn 0.750 0.668 0.292
Sm 0.750 0.220 0.923
Sm 0.750 0.216 0.437
Sb 0.750 0.660 0.791

Results
E_tot ... -4.42 eV per atom
Calculated density ... 7.5 g cm⁻³